Below is a crystal of TaIr2Se relaxed with PBEsol, with properties calculated at the SCAN level.

Unit cell a=2.8875 b=2.8875 c=7.4555 alpha=90.00 beta=90.00 gamma=90.00
Space group P4/mmm (No. 123)
Inequivalent atoms, fractional coordinates:
Ta1 0.0000 0.0000 0.0000 x1
Ir1 0.5000 0.5000 0.2495 x2
Se1 0.0000 0.0000 0.5000 x1

Computed properties:
Size of the total moment (μB per atom): 0.0000
Crystal system: tetragonal
Energy relative to the elements, uncorrected (meV/atom): -106

Below is a crystal of Li2CePrMo4O16 relaxed with PBEsol, with properties calculated at the SCAN level.

Unit cell a=5.2116 b=5.2116 c=11.2114 alpha=90.00 beta=90.00 gamma=90.00
Space group P-4 (No. 81)
Inequivalent atoms, fractional coordinates:
Li1 0.0000 0.5000 0.2374 x2
Ce1 0.0000 0.0000 0.0000 x1
Pr1 0.5000 0.5000 0.5000 x1
Mo1 0.0000 0.0000 0.5000 x1
Mo2 0.0000 0.5000 0.7523 x2
Mo3 0.5000 0.5000 0.0000 x1
O1 0.1509 0.7566 0.4142 x4
O2 0.1568 0.2609 0.8397 x4
O3 0.2368 0.6532 0.6648 x4
O4 0.2536 0.3448 0.0846 x4

Computed properties:
Size of the total moment (μB per atom): 0.0428
Crystal system: tetragonal
Energy relative to the elements, uncorrected (meV/atom): -2593

Below is a crystal of HfSbTe2N relaxed with PBEsol, with properties calculated at the SCAN level.

Unit cell a=5.6319 b=5.6319 c=3.8690 alpha=90.00 beta=90.00 gamma=90.00
Space group P4/mmm (No. 123)
Inequivalent atoms, fractional coordinates:
Hf1 0.0000 0.0000 0.0000 x1
Sb1 0.5000 0.5000 0.5000 x1
Te1 0.0000 0.5000 0.5000 x2
N1 0.5000 0.5000 0.0000 x1

Computed properties:
Size of the total moment (μB per atom): 0.0000
Crystal system: tetragonal
Energy relative to the elements, uncorrected (meV/atom): 916

Below is a crystal of Te2PtPb relaxed with PBEsol, with properties calculated at the SCAN level.

Unit cell a=6.4606 b=6.4606 c=12.7938 alpha=90.00 beta=90.00 gamma=90.00
Space group I-42d (No. 122)
Inequivalent atoms, fractional coordinates:
Te1 0.1901 0.2500 0.1250 x8
Pt1 0.0000 0.0000 0.0000 x4
Pb1 0.0000 0.0000 0.5000 x4

Computed properties:
Size of the total moment (μB per atom): 0.0000
Crystal system: tetragonal
Energy relative to the elements, uncorrected (meV/atom): -151

Below is a crystal of Ba2GdCu3O7 relaxed with PBEsol, with properties calculated at the SCAN level.

Unit cell a=3.8177 b=3.8770 c=11.5363 alpha=90.00 beta=90.00 gamma=90.00
Space group Pmmm (No. 47)
Inequivalent atoms, fractional coordinates:
Ba1 0.0000 0.0000 0.1812 x2
Gd1 0.0000 0.0000 0.5000 x1
Cu1 0.5000 0.5000 0.0000 x1
Cu2 0.5000 0.5000 0.3503 x2
O1 0.0000 0.5000 0.3752 x2
O2 0.5000 0.0000 0.0000 x1
O3 0.5000 0.0000 0.3745 x2
O4 0.5000 0.5000 0.1608 x2

Computed properties:
Size of the total moment (μB per atom): 0.5324
Crystal system: orthorhombic
Energy relative to the elements, uncorrected (meV/atom): -2030

Below is a crystal of HgI2N relaxed with PBEsol, with properties calculated at the SCAN level.

Unit cell a=7.4319 b=7.4319 c=7.4319 alpha=90.00 beta=90.00 gamma=90.00
Space group Fm-3m (No. 225)
Inequivalent atoms, fractional coordinates:
Hg1 0.0000 0.0000 0.0000 x4
I1 0.2500 0.2500 0.2500 x8
N1 0.0000 0.0000 0.5000 x4

Computed properties:
Size of the total moment (μB per atom): 0.7618
Crystal system: cubic
Energy relative to the elements, uncorrected (meV/atom): 1294
Polymorph energy (0 for the lowest one) (eV/atom): 0.549

Below is a crystal of ScTeBr relaxed with PBEsol, with properties calculated at the SCAN level.

Unit cell a=3.9312 b=3.9312 c=6.5907 alpha=90.00 beta=90.00 gamma=120.00
Space group P3m1 (No. 156)
Inequivalent atoms, fractional coordinates:
Sc1 0.0000 0.0000 0.0000 x1
Te1 0.3333 0.6667 0.7493 x1
Br1 0.6667 0.3333 0.2468 x1

Computed properties:
Size of the total moment (μB per atom): 0.0000
Crystal system: trigonal
Energy relative to the elements, uncorrected (meV/atom): -1548

Below is a crystal of InRu2Se relaxed with PBEsol, with properties calculated at the SCAN level.

Unit cell a=2.9140 b=2.9140 c=7.9015 alpha=90.00 beta=90.00 gamma=90.00
Space group P4mm (No. 99)
Inequivalent atoms, fractional coordinates:
In1 0.0000 0.0000 0.0000 x1
Ru1 0.0000 0.0000 0.4563 x1
Ru2 0.5000 0.5000 0.2408 x1
Se1 0.5000 0.5000 0.6496 x1

Computed properties:
Size of the total moment (μB per atom): 0.0001
Crystal system: tetragonal
Energy relative to the elements, uncorrected (meV/atom): 184
Polymorph energy (0 for the lowest one) (eV/atom): 0.000

Below is a crystal of La3Cd2 relaxed with PBEsol, with properties calculated at the SCAN level.

Unit cell a=5.2662 b=5.2662 c=6.5726 alpha=90.00 beta=90.00 gamma=120.00
Space group P-3m1 (No. 164)
Inequivalent atoms, fractional coordinates:
La1 0.0000 0.0000 0.0000 x1
La2 0.3333 0.6667 0.3766 x2
Cd1 0.3333 0.6667 0.8665 x2

Computed properties:
Size of the total moment (μB per atom): 0.0000
Crystal system: trigonal
Formation energy (eV per atom): -0.233
Polymorph energy (0 for the lowest one) (eV/atom): 0.041

Below is a crystal of Tl3SI relaxed with PBEsol, with properties calculated at the SCAN level.

Unit cell a=6.1839 b=6.1839 c=6.1839 alpha=90.00 beta=90.00 gamma=90.00
Space group Pm-3m (No. 221)
Inequivalent atoms, fractional coordinates:
Tl1 0.0000 0.0000 0.5000 x3
S1 0.5000 0.5000 0.5000 x1
I1 0.0000 0.0000 0.0000 x1

Computed properties:
Size of the total moment (μB per atom): 0.0146
Crystal system: cubic
Energy relative to the elements, uncorrected (meV/atom): 358

Below is a crystal of Mg3W relaxed with PBEsol, with properties calculated at the SCAN level.

Unit cell a=5.7609 b=8.9708 c=2.8195 alpha=90.00 beta=90.00 gamma=90.00
Space group Cmmm (No. 65)
Inequivalent atoms, fractional coordinates:
Mg1 0.0000 0.0000 0.0000 x2
Mg2 0.2500 0.2500 0.5000 x4
W1 0.0000 0.5000 0.0000 x2

Computed properties:
Size of the total moment (μB per atom): 0.0000
Crystal system: orthorhombic
Formation energy (eV per atom): 0.438
Polymorph energy (0 for the lowest one) (eV/atom): 0.000

Below is a crystal of MgPBr2 relaxed with PBEsol, with properties calculated at the SCAN level.

Unit cell a=3.6433 b=3.6433 c=7.9787 alpha=90.00 beta=90.00 gamma=90.00
Space group P4mm (No. 99)
Inequivalent atoms, fractional coordinates:
Mg1 0.0000 0.0000 0.0000 x1
P1 0.5000 0.5000 0.0966 x1
Br1 0.0000 0.0000 0.7003 x1
Br2 0.5000 0.5000 0.3719 x1

Computed properties:
Size of the total moment (μB per atom): 0.0000
Crystal system: tetragonal
Energy relative to the elements, uncorrected (meV/atom): -491
Polymorph energy (0 for the lowest one) (eV/atom): 0.000

Number 1: density 17212 kg/m3. Number 2: density 5097 kg/m3. Number 3: density 7705 kg/m3. Number 4: density 8178 kg/m3. Number 5: density 7143 kg/m3. Number 6: density 7579 kg/m3. Number 7: density 4752 kg/m3. Number 8: density 9799 kg/m3. Number 9: density 6749 kg/m3. Number 10: density 5422 kg/m3. Number 11: density 5852 kg/m3. Number 12: density 3372 kg/m3.